# MgSc2TlO6

A relaxed structure of MgSc2TlO6 (PBE-GGA, the Alexandria database).

Calculated values
Density of states at the Fermi level   20.88 states/eV/cell
Crystal system   trigonal
Formation energy without anion corrections   -2.320 eV per atom

Cell lengths 5.4419, 5.4419, 14.6206 Å; angles 90.00, 90.00, 120.00 degrees
Space group R3 (No. 146, hexagonal axes)
Unique sites:
Mg 0.0000 0.0000 0.0000
Sc 0.0000 0.0000 0.2954
Sc 0.0000 0.0000 0.7886
Tl 0.0000 0.0000 0.5063
O 0.0097 0.6954 0.3900
O 0.0265 0.3014 0.8950



# Nb2SnAs2

A relaxed structure of Nb2SnAs2 (PBE-GGA, the Alexandria database).

Calculated values
Formation energy from the elements   -1.554 eV per formula unit
Density of states at the Fermi level   3.69 states/eV/cell
Crystal system   tetragonal

Cell lengths 7.560, 7.560, 3.310 Å; angles 90.00, 90.00, 90.00 degrees
Space group P4/mbm (No. 127)
Unique sites:
Nb 0.147 0.353 0.000
Sn 0.000 0.000 0.000
As 0.140 0.640 0.500



# Sc2VAu

A relaxed structure of Sc2VAu (PBE-GGA, the Alexandria database).

Calculated values
Formation energy from the elements   -1.163 eV per formula unit
Density of states at the Fermi level   2.15 states/eV/cell
ΔE to the lowest computed polymorph   0.000 eV per atom
Crystal system   tetragonal

Cell lengths 4.654, 4.654, 3.548 Å; angles 90.00, 90.00, 90.00 degrees
Space group P4/mmm (No. 123)
Unique sites:
Sc 0.000 0.500 0.000
V 0.000 0.000 0.500
Au 0.500 0.500 0.500



# Pm2CuPd

A relaxed structure of Pm2CuPd (PBE-GGA, the Alexandria database).

Calculated values
Formation energy from the elements   -2.069 eV per formula unit
Density of states at the Fermi level   6.11 states/eV/cell
Crystal system   monoclinic

Cell lengths 5.699, 4.622, 7.706 Å; angles 90.00, 109.64, 90.00 degrees
Space group P2_1/m (No. 11)
Unique sites:
Pm 0.222 0.250 0.430
Pm 0.223 0.250 0.932
Cu 0.350 0.750 0.711
Pd 0.347 0.750 0.213



# Tb4BiPbN

A relaxed structure of Tb4BiPbN (PBE-GGA, the Alexandria database).

Calculated values
Density of states at the Fermi level   23.49 states/eV/cell
Crystal system   orthorhombic
Formation energy without anion corrections   -0.888 eV per atom

Cell lengths 6.752, 16.165, 6.748 Å; angles 90.00, 90.00, 90.00 degrees
Space group Cmcm (No. 63)
Unique sites:
Tb 0.000 0.094 0.250
Tb 0.000 0.404 0.250
Tb 0.250 0.250 0.000
Bi 0.000 0.395 0.750
Pb 0.000 0.105 0.750
N 0.000 0.249 0.250



# GaCoB2Br

A relaxed structure of GaCoB2Br (PBE-GGA, the Alexandria database).

Calculated values
Density of states at the Fermi level   3.79 states/eV/cell
Crystal system   tetragonal
Formation energy without anion corrections   2.276 eV per atom

Cell lengths 4.055, 4.055, 5.287 Å; angles 90.00, 90.00, 90.00 degrees
Space group P4/mmm (No. 123)
Unique sites:
Ga 0.000 0.000 0.000
Co 0.500 0.500 0.000
B 0.000 0.500 0.500
Br 0.000 0.000 0.500



# TbSmEr2Tm

A relaxed structure of TbSmEr2Tm (PBE-GGA, the Alexandria database).

Calculated values
Formation energy from the elements   2.003 eV per formula unit
Density of states at the Fermi level   29.67 states/eV/cell
Crystal system   orthorhombic

Cell lengths 8.334, 11.365, 7.168 Å; angles 90.00, 90.00, 90.00 degrees
Space group Cmcm (No. 63)
Unique sites:
Tb 0.000 0.000 0.250
Sm 0.000 0.273 0.250
Er 0.189 0.500 0.000
Tm 0.000 0.280 0.750



# AsHIrOsAu

A relaxed structure of AsHIrOsAu (PBE-GGA, the Alexandria database).

Calculated values
Density of states at the Fermi level   8.44 states/eV/cell
ΔE to the lowest computed polymorph   0.132 eV per atom
Crystal system   monoclinic

Cell lengths 10.145, 3.049, 5.404 Å; angles 90.00, 120.96, 90.00 degrees
Space group Cm (No. 8)
Unique sites:
As 0.000 0.000 0.000
H 0.306 0.000 0.099
Ir 0.175 0.500 0.371
Os 0.245 0.500 0.920
Au 0.479 0.500 0.516



# Cu3Ru

A relaxed structure of Cu3Ru (PBE-GGA, the Alexandria database).

Calculated values
Formation energy from the elements   0.733 eV per formula unit
Density of states at the Fermi level   4.13 states/eV/cell
Crystal system   tetragonal

Cell lengths 2.585, 2.585, 7.524 Å; angles 90.00, 90.00, 90.00 degrees
Space group P4/mmm (No. 123)
Unique sites:
Cu 0.000 0.000 0.000
Cu 0.500 0.500 0.240
Ru 0.000 0.000 0.500



# K2HSO4

A relaxed structure of K2HSO4 (PBE-GGA, the Alexandria database).

Calculated values
Density of states at the Fermi level   15.04 states/eV/cell
Crystal system   monoclinic
Electronic total energy   -4.343 eV per atom

Cell lengths 12.350, 7.921, 8.463 Å; angles 90.00, 133.14, 90.00 degrees
Space group C2/c (No. 15)
Unique sites:
K 0.000 0.000 0.000
K 0.250 0.250 0.000
H 0.000 0.500 0.000
S 0.250 0.250 0.500
O 0.179 0.067 0.428
O 0.250 0.250 0.313



# Ba2SnPbAu6

A relaxed structure of Ba2SnPbAu6 (PBE-GGA, the Alexandria database).

Calculated values
Formation energy from the elements   -2.959 eV per formula unit
Density of states at the Fermi level   12.11 states/eV/cell
Crystal system   cubic

Cell lengths 10.785, 10.785, 10.785 Å; angles 90.00, 90.00, 90.00 degrees
Space group Fm-3m (No. 225)
Unique sites:
Ba 0.250 0.250 0.250
Sn 0.000 0.000 0.000
Pb 0.000 0.000 0.500
Au 0.000 0.000 0.246



# TiCrBiW2

A relaxed structure of TiCrBiW2 (PBE-GGA, the Alexandria database).

Calculated values
Formation energy from the elements   7.382 eV per formula unit
Density of states at the Fermi level   9.16 states/eV/cell
Crystal system   tetragonal

Cell lengths 4.583, 4.583, 4.870 Å; angles 90.00, 90.00, 90.00 degrees
Space group P4/mmm (No. 123)
Unique sites:
Ti 0.000 0.000 0.000
Cr 0.500 0.500 0.500
Bi 0.500 0.500 0.000
W 0.000 0.500 0.500



# Y2NiBiB

A relaxed structure of Y2NiBiB (PBE-GGA, the Alexandria database).

Calculated values
Formation energy from the elements   -2.060 eV per formula unit
Density of states at the Fermi level   4.53 states/eV/cell
Crystal system   tetragonal

Cell lengths 5.181, 5.181, 3.963 Å; angles 90.00, 90.00, 90.00 degrees
Space group P4/mmm (No. 123)
Unique sites:
Y 0.000 0.500 0.000
Ni 0.000 0.000 0.500
Bi 0.500 0.500 0.500
B 0.000 0.000 0.000



# HfTiV

A relaxed structure of HfTiV (PBE-GGA, the Alexandria database).

Calculated values
Formation energy from the elements   0.400 eV per formula unit
Density of states at the Fermi level   9.16 states/eV/cell
ΔE to the lowest computed polymorph   0.006 eV per atom
Crystal system   monoclinic

Cell lengths 4.463, 4.743, 5.508 Å; angles 90.00, 113.80, 90.00 degrees
Space group P2_1/m (No. 11)
Unique sites:
Hf 0.088 0.250 0.176
Ti 0.387 0.250 0.774
V 0.231 0.750 0.462



# Li2FeRh2

A relaxed structure of Li2FeRh2 (PBE-GGA, the Alexandria database).

Calculated values
Formation energy from the elements   0.184 eV per formula unit
Density of states at the Fermi level   7.75 states/eV/cell
ΔE to the lowest computed polymorph   0.000 eV per atom
Crystal system   monoclinic

Cell lengths 7.349, 4.262, 4.761 Å; angles 90.00, 120.48, 90.00 degrees
Space group C2/m (No. 12)
Unique sites:
Li 0.093 0.000 0.279
Fe 0.000 0.500 0.500
Rh 0.208 0.500 0.125



# Pr5IrPd2

A relaxed structure of Pr5IrPd2 (PBE-GGA, the Alexandria database).

Calculated values
Formation energy from the elements   -4.191 eV per formula unit
Density of states at the Fermi level   36.46 states/eV/cell
Crystal system   tetragonal

Cell lengths 7.425, 7.425, 15.725 Å; angles 90.00, 90.00, 90.00 degrees
Space group I4/mcm (No. 140)
Unique sites:
Pr 0.000 0.000 0.000
Pr 0.174 0.326 0.151
Ir 0.000 0.000 0.250
Pd 0.130 0.370 0.500



# RbTh2Ag2Te6

A relaxed structure of RbTh2Ag2Te6 (PBE-GGA, the Alexandria database).

Calculated values
Density of states at the Fermi level   7.01 states/eV/cell
Crystal system   triclinic
Formation energy without anion corrections   -0.767 eV per atom

Cell lengths 7.956, 8.077, 8.094 Å; angles 65.10, 67.54, 66.42 degrees
Space group P-1 (No. 2)
Unique sites:
Rb 0.000 0.000 0.000
Th 0.002 0.321 0.342
Ag 0.353 0.579 0.232
Te 0.252 0.300 0.570
Te 0.254 0.523 0.951
Te 0.264 0.911 0.329



# KHf3Mo

A relaxed structure of KHf3Mo (PBE-GGA, the Alexandria database).

Calculated values
Formation energy from the elements   4.464 eV per formula unit
Density of states at the Fermi level   9.86 states/eV/cell
ΔE to the lowest computed polymorph   0.000 eV per atom
Crystal system   cubic

Cell lengths 5.202, 5.202, 5.202 Å; angles 90.00, 90.00, 90.00 degrees
Space group Pm-3m (No. 221)
Unique sites:
K 0.000 0.000 0.000
Hf 0.000 0.500 0.500
Mo 0.500 0.500 0.500



# LiNiAsRh

A relaxed structure of LiNiAsRh (PBE-GGA, the Alexandria database).

Calculated values
Formation energy from the elements   -1.554 eV per formula unit
Density of states at the Fermi level   15.75 states/eV/cell
Crystal system   cubic

Cell lengths 5.842, 5.842, 5.842 Å; angles 90.00, 90.00, 90.00 degrees
Space group F-43m (No. 216)
Unique sites:
Li 0.000 0.000 0.000
Ni 0.250 0.250 0.750
As 0.000 0.000 0.500
Rh 0.250 0.250 0.250



# CaTl2Cl

A relaxed structure of CaTl2Cl (PBE-GGA, the Alexandria database).

Calculated values
Density of states at the Fermi level   4.75 states/eV/cell
ΔE to the lowest computed polymorph   0.069 eV per atom
Crystal system   monoclinic
Formation energy without anion corrections   -0.769 eV per atom

Cell lengths 16.352, 3.595, 4.297 Å; angles 90.00, 105.16, 90.00 degrees
Space group C2/m (No. 12)
Unique sites:
Ca 0.000 0.000 0.000
Tl 0.191 0.500 0.191
Cl 0.000 0.500 0.500



no.,total magnetization (Bohr magnetons per cell)
1,3.2
2,0.0
3,3.2
4,0.0
5,0.0
6,1.8
7,0.0
8,0.0
9,0.0
10,4.0
11,0.0
12,0.0
13,0.0
14,0.0
15,8.4
16,0.0
17,0.0
18,0.0
19,0.0
20,0.0